Below is Li3Ni5O10 after structural relaxation, with properties calculated at the PBE+U level.

a b c (Å): 4.9896 5.8401 6.4746
angles (deg): 105.36 96.89 106.62
Sites, in units of the cell vectors:
Li: 0.0000 0.0000 0.0000
Li: 0.2008 0.3990 0.3991
Li: 0.4035 0.8026 0.7923
Ni: 0.0003 0.4983 0.9967
Ni: 0.1998 0.8947 0.3925
Ni: 0.4038 0.2986 0.7978
Ni: 0.6007 0.6923 0.2001
Ni: 0.8014 0.1057 0.5889
O: 0.1273 0.4421 0.7259
O: 0.1366 0.9764 0.6849
O: 0.2702 0.8199 0.1053
O: 0.2866 0.3678 0.0739
O: 0.4654 0.2264 0.5133
O: 0.4846 0.7623 0.4697
O: 0.6975 0.6213 0.9203
O: 0.7035 0.1808 0.8876
O: 0.9113 0.0117 0.2992
O: 0.9321 0.5674 0.2795

- Crystal system: triclinic
- Total DFT energy (no corrections): -86.29 eV per cell

***

Below is CsMnMoO3F3 after structural relaxation, with properties calculated at the PBE+U level.

a b c (Å): 7.5127 7.5127 7.5358
angles (deg): 118.31 118.31 91.35
Sites, in units of the cell vectors:
Cs: 0.1251 0.8749 0.7500
Cs: 0.8749 0.1251 0.2500
Mn: 0.0000 0.5000 0.0000
Mn: 0.5000 0.0000 0.5000
Mo: 0.5000 0.5000 0.0000
Mo: 0.5000 0.5000 0.5000
O: 0.2169 0.4685 0.8936
O: 0.4585 0.5415 0.7500
O: 0.4685 0.2169 0.3936
O: 0.5315 0.7831 0.6064
O: 0.5415 0.4585 0.2500
O: 0.7831 0.5315 0.1064
F: 0.1660 0.8340 0.2500
F: 0.1823 0.4218 0.2723
F: 0.4218 0.1823 0.7723
F: 0.5782 0.8177 0.2277
F: 0.8177 0.5782 0.7277
F: 0.8340 0.1660 0.7500

- Crystal system: monoclinic
- Total DFT energy (no corrections): -110.71 eV per cell
- DOS at the Fermi energy: 0.0 states/eV/cell